[1]
# SrCdRu3 | the Alexandria database | PBE-GGA | relaxed
# size of the total moment	5.12	μB/f.u.
# E	-3.72	eV/atom
# relative energy among the computed polymorphs	764.1	meV per atom
# energy of formation from the pure elements	228	kJ per mole of atoms
data_SrCdRu3
_space_group_name_H-M_alt 'P m -3 m'
_space_group_IT_number 221
_space_group_name_Hall '-P 4 2 3'
_cell_length_a 4.960
_cell_length_b 4.960
_cell_length_c 4.960
_cell_angle_alpha 90.00
_cell_angle_beta 90.00
_cell_angle_gamma 90.00
loop_
_atom_site_label
_atom_site_type_symbol
_atom_site_fract_x
_atom_site_fract_y
_atom_site_fract_z
_atom_site_occupancy
Sr1 Sr 0.000 0.000 0.000 1
Cd1 Cd 0.500 0.500 0.500 1
Ru1 Ru 0.000 0.000 0.500 1



[2]
# Sr2CdRu | the Alexandria database | PBE-GGA | relaxed
# size of the total moment	0.00	μB/f.u.
# E	-3.05	eV/atom
# energy of formation from the pure elements	33	kJ per mole of atoms
data_Sr2CdRu
_space_group_name_H-M_alt 'I -4 m 2'
_space_group_IT_number 119
_space_group_name_Hall 'I -4 -2'
_cell_length_a 4.766
_cell_length_b 4.766
_cell_length_c 9.280
_cell_angle_alpha 90.00
_cell_angle_beta 90.00
_cell_angle_gamma 90.00
loop_
_atom_site_label
_atom_site_type_symbol
_atom_site_fract_x
_atom_site_fract_y
_atom_site_fract_z
_atom_site_occupancy
Sr1 Sr 0.000 0.000 0.000 1
Sr2 Sr 0.000 0.500 0.250 1
Cd1 Cd 0.000 0.500 0.750 1
Ru1 Ru 0.000 0.000 0.500 1



[3]
# Sr2CdRu | the Alexandria database | PBE-GGA | relaxed
# size of the total moment	0.00	μB/f.u.
# E	-3.03	eV/atom
# energy of formation from the pure elements	34	kJ per mole of atoms
data_Sr2CdRu
_space_group_name_H-M_alt 'F -4 3 m'
_space_group_IT_number 216
_space_group_name_Hall 'F -4 2 3'
_cell_length_a 7.437
_cell_length_b 7.437
_cell_length_c 7.437
_cell_angle_alpha 90.00
_cell_angle_beta 90.00
_cell_angle_gamma 90.00
loop_
_atom_site_label
_atom_site_type_symbol
_atom_site_fract_x
_atom_site_fract_y
_atom_site_fract_z
_atom_site_occupancy
Sr1 Sr 0.000 0.000 0.000 1
Sr2 Sr 0.250 0.250 0.250 1
Cd1 Cd 0.000 0.000 0.500 1
Ru1 Ru 0.250 0.250 0.750 1



[4]
# SrCdRu4 | the Alexandria database | PBE-GGA | relaxed
# size of the total moment	2.89	μB/f.u.
# E	-6.20	eV/atom
# energy of formation from the pure elements	40	kJ per mole of atoms
data_SrCdRu4
_space_group_name_H-M_alt 'F -4 3 m'
_space_group_IT_number 216
_space_group_name_Hall 'F -4 2 3'
_cell_length_a 7.587
_cell_length_b 7.587
_cell_length_c 7.587
_cell_angle_alpha 90.00
_cell_angle_beta 90.00
_cell_angle_gamma 90.00
loop_
_atom_site_label
_atom_site_type_symbol
_atom_site_fract_x
_atom_site_fract_y
_atom_site_fract_z
_atom_site_occupancy
Sr1 Sr 0.000 0.000 0.000 1
Cd1 Cd 0.250 0.250 0.750 1
Ru1 Ru 0.124 0.124 0.376 1